Entry i
{
  "formula": "PuNbW",
  "functional": "GGA-PBE",
  "state": "relaxed",
  "space_group": "F-43m (216)",
  "lattice": [[2.207, 1.274, 3.605], [-2.207, 1.274, 3.605], [0.000, -2.549, 3.605]],
  "species": ["Nb", "Pu", "W"],
  "fractional_positions": [[0.750, 0.750, 0.750], [0.000, 0.000, 0.000], [0.250, 0.250, 0.250]]
}


Entry ii
{
  "formula": "PuNbW",
  "functional": "GGA-PBE",
  "state": "relaxed",
  "space_group": "F-43m (216)",
  "lattice": [[0.480, -4.355, 0.875], [-2.141, -1.831, 3.468], [-3.403, -2.808, -0.705]],
  "species": ["Nb", "Pu", "W"],
  "fractional_positions": [[0.750, 0.750, 0.750], [0.250, 0.250, 0.250], [0.000, 0.000, 0.000]]
}


The structure with the least stability is entry i.


Entry i
{
  "formula": "RbNb",
  "functional": "GGA-PBE",
  "state": "relaxed",
  "space_group": "P-6m2 (187)",
  "lattice": [[3.086, 0.000, 0.000], [-1.543, 2.673, 0.000], [0.000, 0.000, 6.766]],
  "species": ["Nb", "Rb"],
  "fractional_positions": [[0.667, 0.333, 0.750], [0.333, 0.667, 0.250]]
}


Entry ii
{
  "formula": "RbNb",
  "functional": "GGA-PBE",
  "state": "relaxed",
  "space_group": "F-43m (216)",
  "lattice": [[-5.063, -1.551, -2.563], [-4.935, 2.968, 1.202], [-2.412, 3.475, -4.088]],
  "species": ["Nb", "Rb"],
  "fractional_positions": [[0.000, 0.000, 0.000], [0.250, 0.250, 0.250]]
}


Entry iii
{
  "formula": "RbNb",
  "functional": "GGA-PBE",
  "state": "relaxed",
  "space_group": "P6_3/mmc (194)",
  "lattice": [[5.356, 0.000, 0.000], [-2.678, 4.638, 0.000], [0.000, 0.000, 8.249]],
  "species": ["Nb", "Nb", "Rb", "Rb"],
  "fractional_positions": [[0.333, 0.667, 0.250], [0.667, 0.333, 0.750], [0.000, 0.000, 0.000], [0.000, 0.000, 0.500]]
}


The structure with the least stability is entry ii.


Entry i
{
  "formula": "RbNb",
  "functional": "GGA-PBE",
  "state": "relaxed",
  "space_group": "P6_3/mmc (194)",
  "lattice": [[6.640, 0.000, 0.000], [-3.320, 5.750, 0.000], [0.000, 0.000, 4.721]],
  "species": ["Nb", "Nb", "Rb", "Rb"],
  "fractional_positions": [[0.000, 0.000, 0.000], [0.000, 0.000, 0.500], [0.333, 0.667, 0.250], [0.667, 0.333, 0.750]]
}


Entry ii
{
  "formula": "RbNb",
  "functional": "GGA-PBE",
  "state": "relaxed",
  "space_group": "Fm-3m (225)",
  "lattice": [[0.000, 3.721, 3.721], [3.721, 0.000, 3.721], [3.721, 3.721, 0.000]],
  "species": ["Nb", "Rb"],
  "fractional_positions": [[0.000, 0.000, 0.000], [0.500, 0.500, 0.500]]
}


The structure with the least stability is entry ii.


Entry i
{
  "formula": "Rb2Nb",
  "functional": "GGA-PBE",
  "state": "relaxed",
  "space_group": "Fd-3m (227)",
  "lattice": [[0.000, 5.236, 5.236], [5.236, 0.000, 5.236], [5.236, 5.236, 0.000]],
  "species": ["Nb", "Nb", "Rb", "Rb", "Rb", "Rb"],
  "fractional_positions": [[0.000, 0.000, 0.000], [0.250, 0.250, 0.250], [0.625, 0.625, 0.125], [0.625, 0.125, 0.625], [0.125, 0.625, 0.625], [0.625, 0.625, 0.625]]
}


Entry ii
{
  "formula": "Rb2Nb",
  "functional": "GGA-PBE",
  "state": "relaxed",
  "space_group": "Fd-3m (227)",
  "lattice": [[5.644, 3.259, 9.217], [-5.644, 3.259, 9.217], [0.000, -6.518, 9.217]],
  "species": ["Nb", "Nb", "Rb", "Rb", "Rb", "Rb"],
  "fractional_positions": [[0.250, 0.250, 0.250], [0.500, 0.500, 0.500], [0.875, 0.375, 0.375], [0.375, 0.875, 0.375], [0.375, 0.375, 0.375], [0.375, 0.375, 0.875]]
}


Entry iii
{
  "formula": "Rb2Nb",
  "functional": "GGA-PBE",
  "state": "relaxed",
  "space_group": "Fm-3m (225)",
  "lattice": [[3.228, -5.049, 2.159], [0.657, -0.917, 6.269], [-3.096, -4.774, 2.862]],
  "species": ["Nb", "Rb", "Rb"],
  "fractional_positions": [[0.000, 0.000, 0.000], [0.250, 0.250, 0.250], [0.750, 0.750, 0.750]]
}


The structure with the least stability is entry ii.


Entry i
{
  "formula": "RbTmNbSe3",
  "functional": "GGA-PBE",
  "state": "relaxed",
  "space_group": "P2_1/m (11)",
  "lattice": [[9.519, 0.000, 0.000], [0.000, 3.950, 0.000], [-3.550, 0.000, 9.518]],
  "species": ["Nb", "Nb", "Rb", "Rb", "Se", "Se", "Se", "Se", "Se", "Se", "Tm", "Tm"],
  "fractional_positions": [[0.062, 0.750, 0.101], [0.938, 0.250, 0.899], [0.775, 0.250, 0.253], [0.225, 0.750, 0.747], [0.223, 0.250, 0.043], [0.533, 0.750, 0.346], [0.118, 0.750, 0.367], [0.882, 0.250, 0.633], [0.467, 0.250, 0.654], [0.777, 0.750, 0.957], [0.334, 0.250, 0.363], [0.666, 0.750, 0.637]]
}


Entry ii
{
  "formula": "RbTmNbSe3",
  "functional": "GGA-PBE",
  "state": "relaxed",
  "space_group": "Cmcm (63)",
  "lattice": [[2.049, -7.830, 0.000], [2.049, 7.830, 0.000], [0.000, 0.000, 10.700]],
  "species": ["Nb", "Nb", "Rb", "Rb", "Se", "Se", "Se", "Se", "Se", "Se", "Tm", "Tm"],
  "fractional_positions": [[0.032, 0.968, 0.250], [0.968, 0.032, 0.750], [0.756, 0.244, 0.250], [0.244, 0.756, 0.750], [0.122, 0.878, 0.052], [0.431, 0.569, 0.250], [0.122, 0.878, 0.448], [0.878, 0.122, 0.552], [0.569, 0.431, 0.750], [0.878, 0.122, 0.948], [0.500, 0.500, 0.000], [0.500, 0.500, 0.500]]
}


The structure with the least stability is entry ii.


Entry i
{
  "formula": "RbZrNbSe3",
  "functional": "GGA-PBE",
  "state": "relaxed",
  "space_group": "Cmcm (63)",
  "lattice": [[1.906, -8.250, 0.000], [1.906, 8.250, 0.000], [0.000, 0.000, 10.134]],
  "species": ["Nb", "Nb", "Rb", "Rb", "Se", "Se", "Se", "Se", "Se", "Se", "Zr", "Zr"],
  "fractional_positions": [[0.524, 0.476, 0.250], [0.476, 0.524, 0.750], [0.248, 0.752, 0.250], [0.752, 0.248, 0.750], [0.618, 0.382, 0.052], [0.918, 0.082, 0.250], [0.618, 0.382, 0.448], [0.382, 0.618, 0.552], [0.082, 0.918, 0.750], [0.382, 0.618, 0.948], [0.000, 0.000, 0.000], [0.000, 0.000, 0.500]]
}


Entry ii
{
  "formula": "RbZrNbSe3",
  "functional": "GGA-PBE",
  "state": "relaxed",
  "space_group": "P2_1/m (11)",
  "lattice": [[-1.708, 5.970, -6.571], [-2.629, -2.357, -1.458], [-5.720, 1.147, 8.458]],
  "species": ["Nb", "Nb", "Rb", "Rb", "Se", "Se", "Se", "Se", "Se", "Se", "Zr", "Zr"],
  "fractional_positions": [[0.979, 0.750, 0.395], [0.021, 0.250, 0.605], [0.530, 0.250, 0.267], [0.470, 0.750, 0.733], [0.752, 0.750, 0.139], [0.192, 0.750, 0.142], [0.200, 0.250, 0.451], [0.800, 0.750, 0.549], [0.808, 0.250, 0.858], [0.248, 0.250, 0.861], [0.978, 0.250, 0.144], [0.022, 0.750, 0.856]]
}


The structure with the least stability is entry i.


Entry i
{
  "formula": "RbNbSi",
  "functional": "GGA-PBE",
  "state": "relaxed",
  "space_group": "F-43m (216)",
  "lattice": [[0.000, 3.535, 3.535], [3.535, 0.000, 3.535], [3.535, 3.535, 0.000]],
  "species": ["Nb", "Rb", "Si"],
  "fractional_positions": [[0.250, 0.250, 0.250], [0.000, 0.000, 0.000], [0.750, 0.750, 0.750]]
}


Entry ii
{
  "formula": "RbNbSi",
  "functional": "GGA-PBE",
  "state": "relaxed",
  "space_group": "F-43m (216)",
  "lattice": [[-2.722, -3.311, 2.132], [1.278, -1.768, 4.261], [-2.517, 1.128, 3.912]],
  "species": ["Nb", "Rb", "Si"],
  "fractional_positions": [[0.000, 0.000, 0.000], [0.250, 0.250, 0.250], [0.750, 0.750, 0.750]]
}


The structure with the least stability is entry i.


Entry i
{
  "formula": "SmNbRe",
  "functional": "GGA-PBE",
  "state": "relaxed",
  "space_group": "F-43m (216)",
  "lattice": [[-2.179, 2.977, 2.710], [-3.488, 2.466, -1.647], [-4.275, -0.871, 1.387]],
  "species": ["Nb", "Re", "Sm"],
  "fractional_positions": [[0.000, 0.000, 0.000], [0.250, 0.250, 0.250], [0.750, 0.750, 0.750]]
}


Entry ii
{
  "formula": "SmNbRe",
  "functional": "GGA-PBE",
  "state": "relaxed",
  "space_group": "F-43m (216)",
  "lattice": [[0.000, 3.243, 3.243], [3.243, 0.000, 3.243], [3.243, 3.243, 0.000]],
  "species": ["Nb", "Re", "Sm"],
  "fractional_positions": [[0.250, 0.250, 0.250], [0.750, 0.750, 0.750], [0.000, 0.000, 0.000]]
}


The structure with the least stability is entry ii.


Entry i
{
  "formula": "SrNbRe",
  "functional": "GGA-PBE",
  "state": "relaxed",
  "space_group": "F-43m (216)",
  "lattice": [[0.000, 3.274, 3.274], [3.274, 0.000, 3.274], [3.274, 3.274, 0.000]],
  "species": ["Nb", "Re", "Sr"],
  "fractional_positions": [[0.250, 0.250, 0.250], [0.750, 0.750, 0.750], [0.000, 0.000, 0.000]]
}


Entry ii
{
  "formula": "SrNbRe",
  "functional": "GGA-PBE",
  "state": "relaxed",
  "space_group": "F-43m (216)",
  "lattice": [[0.000, 3.295, 3.295], [3.295, 0.000, 3.295], [3.295, 3.295, 0.000]],
  "species": ["Nb", "Re", "Sr"],
  "fractional_positions": [[0.250, 0.250, 0.250], [0.000, 0.000, 0.000], [0.750, 0.750, 0.750]]
}


The structure with the least stability is entry i.


Entry i
{
  "formula": "Nb2Te3S",
  "functional": "GGA-PBE",
  "state": "relaxed",
  "space_group": "P3m1 (156)",
  "lattice": [[3.614, 0.000, 0.000], [-1.807, 3.130, 0.000], [0.000, 0.000, 13.651]],
  "species": ["Nb", "Nb", "S", "Te", "Te", "Te"],
  "fractional_positions": [[0.667, 0.333, 0.233], [0.667, 0.333, 0.753], [0.000, 0.000, 0.132], [0.000, 0.000, 0.374], [0.333, 0.667, 0.617], [0.333, 0.667, 0.891]]
}


Entry ii
{
  "formula": "Nb2Te3S",
  "functional": "GGA-PBE",
  "state": "relaxed",
  "space_group": "Pm (6)",
  "lattice": [[6.253, 0.000, 0.000], [0.000, 3.599, 0.000], [-3.022, 0.000, 12.238]],
  "species": ["Nb", "Nb", "S", "Te", "Te", "Te"],
  "fractional_positions": [[0.550, 0.000, 0.992], [0.093, 0.500, 0.992], [0.174, 0.000, 0.877], [0.813, 0.500, 0.140], [0.321, 0.000, 0.157], [0.667, 0.500, 0.842]]
}


The structure with the least stability is entry i.


Entry i
{
  "formula": "NbWS4",
  "functional": "GGA-PBE",
  "state": "relaxed",
  "space_group": "Cmm2 (35)",
  "lattice": [[1.637, -10.541, 0.000], [1.637, 10.541, 0.000], [0.000, 0.000, 5.680]],
  "species": ["Nb", "S", "S", "S", "S", "W"],
  "fractional_positions": [[0.000, 0.000, 0.003], [0.575, 0.425, 0.170], [0.425, 0.575, 0.170], [0.927, 0.073, 0.658], [0.073, 0.927, 0.658], [0.500, 0.500, 0.493]]
}


Entry ii
{
  "formula": "NbWS4",
  "functional": "GGA-PBE",
  "state": "relaxed",
  "space_group": "Amm2 (38)",
  "lattice": [[14.866, 0.000, 0.000], [0.000, 1.631, 2.825], [0.000, -1.631, 2.825]],
  "species": ["Nb", "S", "S", "S", "S", "W"],
  "fractional_positions": [[0.000, 0.003, 0.003], [0.108, 0.336, 0.336], [0.892, 0.336, 0.336], [0.396, 0.836, 0.836], [0.604, 0.836, 0.836], [0.500, 0.502, 0.502]]
}


The structure with the least stability is entry ii.


Entry i
{
  "formula": "SrNbSb",
  "functional": "GGA-PBE",
  "state": "relaxed",
  "space_group": "F-43m (216)",
  "lattice": [[-2.007, -4.310, -1.604], [-3.470, -2.336, 2.771], [-4.774, -0.124, -1.540]],
  "species": ["Nb", "Sb", "Sr"],
  "fractional_positions": [[0.250, 0.250, 0.250], [0.000, 0.000, 0.000], [0.750, 0.750, 0.750]]
}


Entry ii
{
  "formula": "SrNbSb",
  "functional": "GGA-PBE",
  "state": "relaxed",
  "space_group": "F-43m (216)",
  "lattice": [[2.623, -2.208, 3.970], [-1.871, 0.337, 4.889], [-1.930, -4.263, 2.369]],
  "species": ["Nb", "Sb", "Sr"],
  "fractional_positions": [[0.250, 0.250, 0.250], [0.750, 0.750, 0.750], [0.000, 0.000, 0.000]]
}


The structure with the least stability is entry ii.